#a
Pm2HoTe4 | PBE-GGA | relaxed

crystal system = orthorhombic
DOS at the Fermi energy = 0.3988 states/eV/atom
V = 476 Å³/cell
magnetic moment = 0.000 μB/atom

Cell lengths 4.2692, 7.6336, 15.2043 Å; angles 90.00, 90.00, 106.24 degrees
Last column: nearest neighbours and their distance in Å.
Positions (direct):
Pm: 0.8683 0.7367 0.5707  6 Te 3.07-3.24
Pm: 0.1317 0.2633 0.0707  6 Te 3.07-3.24
Pm: 0.1317 0.2633 0.4293  6 Te 3.07-3.24
Pm: 0.8683 0.7367 0.9293  6 Te 3.07-3.24
Te: 0.7820 0.5640 0.1252  2 Ho 3.14, 3 Pm 3.18-3.24
Te: 0.9756 0.9513 0.7500  2 Ho 3.09, 2 Pm 3.15
Te: 0.7820 0.5640 0.3748  2 Ho 3.14, 3 Pm 3.18-3.24
Te: 0.0244 0.0487 0.2500  2 Ho 3.09, 2 Pm 3.15
Te: 0.2180 0.4360 0.8748  2 Ho 3.14, 3 Pm 3.18-3.24
Te: 0.5000 0.0000 0.5000  4 Pm 3.07
Te: 0.5000 0.0000 0.0000  4 Pm 3.07
Te: 0.2180 0.4360 0.6252  2 Ho 3.14, 3 Pm 3.18-3.24
Ho: 0.3716 0.7433 0.2500  6 Te 3.09-3.14
Ho: 0.6284 0.2567 0.7500  6 Te 3.09-3.14



#b
Pm2HoTe4 | PBE-GGA | relaxed

crystal system = orthorhombic
DOS at the Fermi energy = 0.2896 states/eV/atom
V = 479 Å³/cell
magnetic moment = 0.000 μB/atom

Cell lengths 8.8403, 8.7565, 8.7565 Å; angles 60.48, 59.68, 59.68 degrees
Last column: nearest neighbours and their distance in Å.
Positions (direct):
Te: 0.7395 0.7541 0.7668  2 Ho 3.09, 3 Pm 3.16-3.20
Te: 0.7395 0.2668 0.2541  2 Ho 3.09, 3 Pm 3.16-3.20
Te: 0.2596 0.7467 0.2467  1 Ho 3.03, 3 Pm 3.11-3.16
Te: 0.2605 0.2459 0.2332  2 Ho 3.09, 3 Pm 3.16-3.20
Te: 0.2605 0.7332 0.7459  2 Ho 3.09, 3 Pm 3.16-3.20
Te: 0.7404 0.2533 0.7533  1 Ho 3.03, 3 Pm 3.11-3.16
Te: 0.7470 0.7467 0.2467  1 Ho 3.03, 3 Pm 3.11-3.16
Te: 0.2530 0.2533 0.7533  1 Ho 3.03, 3 Pm 3.11-3.16
Ho: 0.5000 0.5000 0.0000  6 Te 3.03-3.09
Ho: 0.0000 0.5000 0.0000  6 Te 3.03-3.09
Pm: 0.0000 0.0000 0.5000  6 Te 3.11-3.16
Pm: 0.0000 0.0000 0.0000  6 Te 3.16-3.20
Pm: 0.5000 0.0000 0.5000  6 Te 3.11-3.16
Pm: 0.0000 0.5000 0.5000  6 Te 3.16-3.20



Bottom line: #b, by a margin of 7.0 kJ/mol of atoms.



#a
PmHo2Te | PBE-GGA | relaxed

crystal system = trigonal
DOS at the Fermi energy = 1.2698 states/eV/atom
V = 129 Å³/cell
magnetic moment = 0.000 μB/atom

Cell lengths 3.8821, 3.8821, 10.1259 Å; angles 78.95, 78.95, 60.00 degrees
Last column: nearest neighbours and their distance in Å.
Positions (direct):
Te: 0.6667 0.6667 0.0000  6 Ho 3.07-3.08
Ho: 0.0712 0.0712 0.7864  3 Te 3.08
Ho: 0.2623 0.2623 0.2130  3 Te 3.07
Pm: 0.4998 0.4998 0.5006  6 Ho 3.60-3.62, 6 Pm 3.88



#b
PmHo2Te | PBE-GGA | relaxed

crystal system = orthorhombic
DOS at the Fermi energy = 1.3478 states/eV/atom
V = 239 Å³/cell
magnetic moment = 0.000 μB/atom

Cell lengths 3.9681, 6.4026, 9.8805 Å; angles 90.00, 90.00, 108.04 degrees
Last column: nearest neighbours and their distance in Å.
Positions (direct):
Ho: 0.6362 0.2720 0.4651  3 Te 3.13-3.24, 3 Ho 3.38-3.48
Ho: 0.3638 0.7280 0.5349  3 Te 3.13-3.24, 3 Ho 3.38-3.48
Ho: 0.6362 0.2720 0.0349  3 Te 3.13-3.24, 3 Ho 3.38-3.48
Ho: 0.3638 0.7280 0.9651  3 Te 3.13-3.24, 3 Ho 3.38-3.48
Te: 0.7679 0.5361 0.7500  6 Ho 3.13-3.24, 3 Pm 3.27-3.49
Te: 0.2321 0.4639 0.2500  6 Ho 3.13-3.24, 3 Pm 3.27-3.49
Pm: 0.9452 0.8903 0.2500  3 Te 3.27-3.49, 4 Ho 3.58
Pm: 0.0548 0.1097 0.7500  3 Te 3.27-3.49, 4 Ho 3.58



#c
PmHo2Te | PBE-GGA | relaxed

crystal system = tetragonal
DOS at the Fermi energy = 1.0801 states/eV/atom
V = 112 Å³/cell
magnetic moment = 0.000 μB/atom

Cell lengths 4.8636, 4.7953, 4.7953 Å; angles 90.00, 90.00, 90.00 degrees
Last column: nearest neighbours and their distance in Å.
Positions (direct):
Ho: 0.0000 0.0000 0.5000  4 Ho 3.39, 4 Pm 3.42, 4 Te 3.42
Ho: 0.0000 0.5000 0.0000  4 Ho 3.39, 4 Te 3.42, 4 Pm 3.42
Te: 0.5000 0.5000 0.5000  4 Pm 3.39, 8 Ho 3.42
Pm: 0.5000 0.0000 0.0000  4 Te 3.39, 8 Ho 3.42



Bottom line: #b, by a margin of 12.6 kJ/mol of atoms.



#a
PmHo2Te | PBE-GGA | relaxed

crystal system = tetragonal
DOS at the Fermi energy = 1.3064 states/eV/atom
V = 119 Å³/cell
magnetic moment = 0.000 μB/atom

Cell lengths 3.8562, 3.8562, 7.9959 Å; angles 90.00, 90.00, 90.00 degrees
Last column: nearest neighbours and their distance in Å.
Positions (direct):
Te: 0.5000 0.5000 0.5000  8 Ho 3.25
Pm: 0.5000 0.5000 0.0000  8 Ho 3.53, 4 Pm 3.86
Ho: 0.0000 0.0000 0.2797  4 Te 3.25, 1 Ho 3.52, 4 Pm 3.53
Ho: 0.0000 0.0000 0.7203  4 Te 3.25, 1 Ho 3.52, 4 Pm 3.53



#b
PmHo2Te | PBE-GGA | relaxed

crystal system = trigonal
DOS at the Fermi energy = 1.3610 states/eV/atom
V = 136 Å³/cell
magnetic moment = 0.288 μB/atom

Cell lengths 3.8138, 3.8138, 11.0278 Å; angles 80.04, 80.04, 60.00 degrees
Last column: nearest neighbours and their distance in Å.
Positions (direct):
Te: 0.5000 0.5000 0.5000  6 Ho 3.01
Pm: 0.0000 0.0000 0.0000  2 Ho 3.35
Ho: 0.8967 0.8967 0.3098  3 Te 3.01, 1 Pm 3.35
Ho: 0.1033 0.1033 0.6902  3 Te 3.01, 1 Pm 3.35



Bottom line: #a, by a margin of 30.7 kJ/mol of atoms.



#a
Pm2Ho12Th5 | PBE-GGA | relaxed

crystal system = monoclinic
DOS at the Fermi energy = 1.5646 states/eV/atom
V = 624 Å³/cell
magnetic moment = 0.000 μB/atom

Cell lengths 6.9733, 11.4837, 8.6352 Å; angles 72.11, 90.00, 107.68 degrees
Last column: nearest neighbours and their distance in Å.
Positions (direct):
Th: 0.3471 0.6941 0.0927  9 Ho 3.40-3.56, 1 Th 3.53, 2 Pm 3.61
Th: 0.7516 0.5032 0.4937  9 Ho 3.40-3.53, 3 Th 3.49-3.53
Th: 0.6529 0.3059 0.9073  9 Ho 3.40-3.56, 1 Th 3.53, 2 Pm 3.61
Th: 0.0000 0.0000 0.5000  4 Ho 3.39
Th: 0.2484 0.4968 0.5063  9 Ho 3.40-3.53, 3 Th 3.49-3.53
Ho: 0.5476 0.5990 0.7897  7 Ho 3.45-3.62, 4 Th 3.46-3.56
Ho: 0.1489 0.7824 0.3813  6 Ho 3.38-3.75, 1 Pm 3.38, 4 Th 3.39-3.41
Ho: 0.8511 0.2176 0.6187  6 Ho 3.38-3.75, 1 Pm 3.38, 4 Th 3.39-3.41
Ho: 0.4524 0.4010 0.2103  7 Ho 3.45-3.62, 4 Th 3.46-3.56
Ho: 0.5473 0.0946 0.3104  3 Ho 3.26-3.62, 1 Th 3.50, 2 Pm 3.61
Ho: 0.3665 0.2176 0.6187  6 Ho 3.38-3.75, 1 Pm 3.38, 4 Th 3.39-3.41
Ho: 0.8494 0.6988 0.0804  3 Th 3.49-3.52, 6 Ho 3.51-3.54, 2 Pm 3.61
Ho: 0.4527 0.9054 0.6896  3 Ho 3.26-3.62, 1 Th 3.50, 2 Pm 3.61
Ho: 0.9485 0.4010 0.2103  7 Ho 3.45-3.62, 4 Th 3.46-3.56
Ho: 0.0515 0.5990 0.7897  7 Ho 3.45-3.62, 4 Th 3.46-3.56
Ho: 0.6335 0.7824 0.3813  6 Ho 3.38-3.75, 1 Pm 3.38, 4 Th 3.39-3.41
Ho: 0.1506 0.3012 0.9196  3 Th 3.49-3.52, 6 Ho 3.51-3.54, 2 Pm 3.61
Pm: 0.2536 0.0000 0.0000  6 Ho 3.38-3.61, 2 Pm 3.44-3.54, 2 Th 3.61
Pm: 0.7464 0.0000 0.0000  6 Ho 3.38-3.61, 2 Pm 3.44-3.54, 2 Th 3.61



#b
Pm2Ho12Th5 | PBE-GGA | relaxed

crystal system = monoclinic
DOS at the Fermi energy = 1.5767 states/eV/atom
V = 615 Å³/cell
magnetic moment = 0.000 μB/atom

Cell lengths 7.0373, 9.9458, 10.2093 Å; angles 68.60, 90.00, 110.72 degrees
Last column: nearest neighbours and their distance in Å.
Positions (direct):
Ho: 0.5842 0.6677 0.5165  6 Ho 3.27-3.61, 2 Th 3.50-3.57
Ho: 0.0835 0.6677 0.5165  6 Ho 3.27-3.61, 2 Th 3.50-3.57
Ho: 0.9165 0.3323 0.4835  6 Ho 3.27-3.61, 2 Th 3.50-3.57
Ho: 0.5018 0.0036 0.6714  7 Ho 3.36-3.72, 2 Pm 3.67
Ho: 0.0290 0.0581 0.7620  2 Th 2.93-3.23, 2 Pm 3.04
Ho: 0.4982 0.9964 0.3286  7 Ho 3.36-3.72, 2 Pm 3.67
Ho: 0.4039 0.3155 0.1365  6 Ho 3.36-3.65, 2 Th 3.52-3.56, 1 Pm 3.72
Ho: 0.4158 0.3323 0.4835  6 Ho 3.27-3.61, 2 Th 3.50-3.57
Ho: 0.0884 0.6845 0.8635  6 Ho 3.36-3.65, 2 Th 3.52-3.56, 1 Pm 3.72
Ho: 0.5961 0.6845 0.8635  6 Ho 3.36-3.65, 2 Th 3.52-3.56, 1 Pm 3.72
Ho: 0.9116 0.3155 0.1365  6 Ho 3.36-3.65, 2 Th 3.52-3.56, 1 Pm 3.72
Ho: 0.9710 0.9419 0.2380  2 Th 2.93-3.23, 2 Pm 3.04
Th: 0.0000 0.0000 0.5000  2 Ho 2.93
Th: 0.1880 0.3760 0.8189  5 Ho 3.23-3.56, 2 Th 3.54
Th: 0.8120 0.6240 0.1811  5 Ho 3.23-3.56, 2 Th 3.54
Th: 0.6807 0.3614 0.7884  2 Th 3.54, 2 Pm 3.55, 9 Ho 3.57-3.95
Th: 0.3193 0.6386 0.2116  2 Th 3.54, 2 Pm 3.55, 9 Ho 3.57-3.95
Pm: 0.7142 0.0000 0.0000  1 Pm 3.01, 2 Ho 3.04
Pm: 0.2858 0.0000 0.0000  1 Pm 3.01, 2 Ho 3.04



Bottom line: #a, by a margin of 5.3 kJ/mol of atoms.



#a
Pm2HoTh | PBE-GGA | relaxed

crystal system = trigonal
DOS at the Fermi energy = 1.5903 states/eV/atom
V = 132 Å³/cell
magnetic moment = 0.000 μB/atom

Cell lengths 3.6218, 3.6218, 11.8276 Å; angles 81.19, 81.19, 60.00 degrees
Last column: nearest neighbours and their distance in Å.
Positions (direct):
Th: 0.6666 0.6666 0.0003  6 Pm 3.56, 6 Th 3.62
Pm: 0.0824 0.0824 0.7529  3 Th 3.56, 3 Ho 3.62, 6 Pm 3.62
Pm: 0.2508 0.2508 0.2477  3 Th 3.56, 3 Ho 3.60, 6 Pm 3.62
Ho: 0.5003 0.5003 0.4990  6 Pm 3.60-3.62, 6 Ho 3.62



#b
Pm2HoTh | PBE-GGA | relaxed

crystal system = tetragonal
DOS at the Fermi energy = 1.2079 states/eV/atom
V = 132 Å³/cell
magnetic moment = 0.000 μB/atom

Cell lengths 5.1006, 5.0792, 5.0792 Å; angles 90.00, 90.00, 90.00 degrees
Last column: nearest neighbours and their distance in Å.
Positions (direct):
Pm: 0.0000 0.0000 0.5000  4 Pm 3.59, 4 Ho 3.60, 4 Th 3.60
Pm: 0.0000 0.5000 0.0000  4 Pm 3.59, 4 Th 3.60, 4 Ho 3.60
Ho: 0.5000 0.5000 0.5000  4 Th 3.59, 8 Pm 3.60
Th: 0.5000 0.0000 0.0000  4 Ho 3.59, 8 Pm 3.60



#c
Pm2HoTh | PBE-GGA | relaxed

crystal system = orthorhombic
DOS at the Fermi energy = 1.6535 states/eV/atom
V = 264 Å³/cell
magnetic moment = 0.000 μB/atom

Cell lengths 7.1757, 7.1810, 6.2603 Å; angles 90.00, 124.94, 90.00 degrees
Last column: nearest neighbours and their distance in Å.
Positions (direct):
Th: 0.7496 0.7500 0.0000  4 Ho 3.59, 8 Pm 3.61
Th: 0.2504 0.2500 0.0000  4 Ho 3.59, 8 Pm 3.61
Pm: 0.2500 0.0001 0.5001  4 Pm 3.59, 4 Th 3.61, 4 Ho 3.61
Pm: 0.7500 0.5000 0.4999  4 Pm 3.59, 4 Th 3.61, 4 Ho 3.61
Pm: 0.2500 0.5000 0.5001  4 Pm 3.59, 4 Th 3.61, 4 Ho 3.61
Pm: 0.7500 0.9999 0.4999  4 Pm 3.59, 4 Th 3.61, 4 Ho 3.61
Ho: 0.7504 0.2500 0.0000  4 Th 3.59, 8 Pm 3.61
Ho: 0.2496 0.7500 0.0000  4 Th 3.59, 8 Pm 3.61



Bottom line: #a, by a margin of 2.3 kJ/mol of atoms.